1.
Compound: LiGd5
Source: the Open Quantum Materials Database
Functional: PBE
Structure: optimized geometry

Cell lengths 6.5726, 6.5726, 5.7850 Å; angles 90.00, 90.00, 120.00 degrees
Closest atoms and distances in Å follow each position.
Sites, in units of the cell vectors:
Gd1 0.6667 0.3333 0.0000  9 Gd 3.46-3.79, 3 Li 3.79
Gd2 0.3333 0.6667 0.0000  9 Gd 3.46-3.79, 3 Li 3.79
Gd3 0.5000 0.0000 0.5000  8 Gd 3.29-3.46
Gd4 0.0000 0.5000 0.5000  8 Gd 3.29-3.46
Gd5 0.5000 0.5000 0.5000  8 Gd 3.29-3.46
Li1 0.0000 0.0000 0.0000  6 Gd 3.79

Properties
Calculated total energy ... -22.172 eV/cell

=====

2.
Compound: CsOsAuS3
Source: the Open Quantum Materials Database
Functional: PBE
Structure: optimized geometry

Cell lengths 9.2713, 9.2713, 9.0137 Å; angles 90.00, 90.00, 156.03 degrees
Closest atoms and distances in Å follow each position.
Sites, in units of the cell vectors:
Au1 0.3817 0.6183 0.2500  2 S 2.33
Au2 0.6183 0.3817 0.7500  2 S 2.33
Cs1 0.7219 0.2781 0.2500  2 S 3.30, 2 Au 3.48
Cs2 0.2781 0.7219 0.7500  2 S 3.30, 2 Au 3.48
Os1 0.0000 0.0000 0.0000  6 S 2.26-2.51
Os2 0.0000 0.0000 0.5000  6 S 2.26-2.51
S1 0.5884 0.4116 0.0014  1 Au 2.33, 2 Os 2.51
S2 0.0078 0.9922 0.2500  2 Os 2.26
S3 0.5884 0.4116 0.4986  1 Au 2.33, 2 Os 2.51
S4 0.4116 0.5884 0.5014  1 Au 2.33, 2 Os 2.51
S5 0.9922 0.0078 0.7500  2 Os 2.26
S6 0.4116 0.5884 0.9986  1 Au 2.33, 2 Os 2.51

Properties
Calculated total energy ... -57.673 eV/cell